[1]
Hf2Pa2Sb2C: optimized geometry, GGA-PBE.

energy relative to the elements, uncorrected = -542 meV/atom
uncorrected energy = -8.595 eV per atom
total magnetization = 0.0 μB/cell
symmetry = No. 139

abc: 4.4889 4.4889 8.4211
angles: 105.46 105.46 90.00
Closest atoms and distances in Å follow each position.
Fractional coordinates of all 7 atoms:
Pa  0.8406  0.8406  0.6812  1 C 2.49
Pa  0.1594  0.1594  0.3188  1 C 2.49
Hf  0.0000  0.5000  0.0000  2 C 2.24
Hf  0.5000  0.0000  0.0000  2 C 2.24
Sb  0.6368  0.6368  0.2737  4 Hf 3.10, 5 Pa 3.18-3.19
Sb  0.3632  0.3632  0.7263  4 Hf 3.10, 5 Pa 3.18-3.19
C  0.0000  0.0000  0.0000  4 Hf 2.24, 2 Pa 2.49


[2]
Tb4PuPd5: optimized geometry, GGA-PBE.

formation energy = -0.772 eV/atom
uncorrected energy = -6.654 eV per atom
total magnetization = 5.8 μB/cell
symmetry = No. 123

abc: 3.4778 3.4778 18.0739
angles: 90.00 90.00 90.00
Closest atoms and distances in Å follow each position.
Fractional coordinates of all 10 atoms:
Pd  0.5000  0.5000  0.5000  8 Tb 3.05
Pd  0.5000  0.5000  0.8924  4 Tb 2.98, 4 Pu 3.14
Pd  0.5000  0.5000  0.1076  4 Tb 2.98, 4 Pu 3.14
Pd  0.5000  0.5000  0.3022  8 Tb 3.03-3.07
Pd  0.5000  0.5000  0.6978  8 Tb 3.03-3.07
Tb  0.0000  0.0000  0.2004  8 Pd 2.98-3.07
Tb  0.0000  0.0000  0.4003  8 Pd 3.03-3.05
Tb  0.0000  0.0000  0.5997  8 Pd 3.03-3.05
Tb  0.0000  0.0000  0.7996  8 Pd 2.98-3.07
Pu  0.0000  0.0000  0.0000  8 Pd 3.14, 4 Pu 3.48